No. 1
# KAuCl2

A relaxed KAuCl2 crystal (PBE, Alexandria).

Properties
- Relative energy among the computed polymorphs: 0.146 eV/atom
- Raw total energy: -2.9805 eV per atom
- E_form (uncorrected): -0.963 eV per atom

Cell: 4.2520 4.4325 6.7611 Å, 90.00 96.77 90.00°
Space group Pm (No. 6)
Symmetry-distinct sites (fractional):
K: 0.0000 0.0000 0.0000 [1 per cell]
Au: 0.5333 0.5000 0.5194 [1 per cell]
Cl: 0.4806 0.5000 0.8924 [1 per cell]
Cl: 0.5646 0.0000 0.3690 [1 per cell]

---

No. 2
# Tl12Bi3Pb5

A relaxed Tl12Bi3Pb5 crystal (PBE, Alexandria).

Properties
- Raw total energy: -2.7108 eV per atom
- Energy of formation: 0.218 eV/atom

Cell: 18.4337 18.4337 18.4337 Å, 90.00 90.00 90.00°
Space group Ia-3d (No. 230)
Symmetry-distinct sites (fractional):
Tl: 0.0166 0.0785 0.6514 [96 per cell]
Bi: 0.0000 0.2500 0.1250 [24 per cell]
Pb: 0.0000 0.0000 0.0000 [16 per cell]
Pb: 0.0000 0.2500 0.3750 [24 per cell]

---

No. 3
# Mg2TlSbIr

A relaxed Mg2TlSbIr crystal (PBE, Alexandria).

Properties
- Raw total energy: -3.8023 eV per atom
- E_form (uncorrected): -0.095 eV per atom

Cell: 5.1471 5.1471 4.9795 Å, 90.00 90.00 90.00°
Space group P4/mmm (No. 123)
Symmetry-distinct sites (fractional):
Mg: 0.0000 0.5000 0.0000 [2 per cell]
Tl: 0.0000 0.0000 0.5000 [1 per cell]
Sb: 0.5000 0.5000 0.5000 [1 per cell]
Ir: 0.5000 0.5000 0.0000 [1 per cell]

---

No. 4
# Nb2Tl2CrTe6

A relaxed Nb2Tl2CrTe6 crystal (PBE, Alexandria).

Properties
- Raw total energy: -5.1354 eV per atom
- E_form (uncorrected): -0.286 eV per atom

Cell: 6.6584 11.6996 8.8859 Å, 90.00 101.93 90.00°
Space group C2/m (No. 12)
Symmetry-distinct sites (fractional):
Nb: 0.0000 0.1270 0.0000 [4 per cell]
Tl: 0.0000 0.3040 0.5000 [4 per cell]
Cr: 0.0000 0.5000 0.0000 [2 per cell]
Te: 0.2047 0.3264 0.1747 [8 per cell]
Te: 0.2428 0.5000 0.7754 [4 per cell]

---

No. 5
# CaTePd

A relaxed CaTePd crystal (PBE, Alexandria).

Properties
- Raw total energy: -4.2193 eV per atom
- E_form (uncorrected): -0.774 eV per atom

Cell: 6.4838 7.5925 6.1265 Å, 90.00 90.00 90.00°
Space group Pnma (No. 62)
Symmetry-distinct sites (fractional):
Ca: 0.1249 0.2500 0.1153 [4 per cell]
Te: 0.0000 0.0000 0.5000 [4 per cell]
Pd: 0.2209 0.7500 0.1755 [4 per cell]

---

No. 6
# LiIn2Re

A relaxed LiIn2Re crystal (PBE, Alexandria).

Properties
- Relative energy among the computed polymorphs: 0.055 eV/atom
- Raw total energy: -4.6725 eV per atom
- Energy of formation: 0.287 eV/atom

Cell: 2.9322 2.9322 8.7639 Å, 90.00 90.00 90.00°
Space group P4/mmm (No. 123)
Symmetry-distinct sites (fractional):
Li: 0.0000 0.0000 0.0000 [1 per cell]
In: 0.5000 0.5000 0.2597 [2 per cell]
Re: 0.0000 0.0000 0.5000 [1 per cell]

---

No. 7
# K2Tl2HgPd2

A relaxed K2Tl2HgPd2 crystal (PBE, Alexandria).

Properties
- Raw total energy: -2.7352 eV per atom
- Energy of formation: -0.219 eV/atom

Cell: 13.2434 4.5754 9.4424 Å, 90.00 131.16 90.00°
Space group C2/m (No. 12)
Symmetry-distinct sites (fractional):
K: 0.2170 0.0000 0.2728 [4 per cell]
Tl: 0.0372 0.5000 0.8261 [4 per cell]
Hg: 0.0000 0.0000 0.5000 [2 per cell]
Pd: 0.1803 0.0000 0.8847 [4 per cell]

---

No. 8
# Sm5NpAs6

A relaxed Sm5NpAs6 crystal (PBE, Alexandria).

Properties
- Raw total energy: -6.7523 eV per atom
- Energy of formation: -1.383 eV/atom

Cell: 7.2644 12.5841 7.2663 Å, 90.00 109.46 90.00°
Space group C2/m (No. 12)
Symmetry-distinct sites (fractional):
Sm: 0.0000 0.0000 0.0000 [2 per cell]
Sm: 0.0000 0.1662 0.5000 [4 per cell]
Sm: 0.0000 0.3317 0.0000 [4 per cell]
Np: 0.0000 0.5000 0.5000 [2 per cell]
As: 0.2445 0.5000 0.2538 [4 per cell]
As: 0.2455 0.3365 0.7464 [8 per cell]

---

No. 9
# BPPd4

A relaxed BPPd4 crystal (PBE, Alexandria).

Properties
- Raw total energy: -5.6184 eV per atom
- Energy of formation: -0.142 eV/atom

Cell: 13.9928 4.1159 7.1482 Å, 90.00 99.24 90.00°
Space group C2/m (No. 12)
Symmetry-distinct sites (fractional):
B: 0.0894 0.0000 0.1665 [4 per cell]
P: 0.2023 0.0000 0.7258 [4 per cell]
Pd: 0.0637 0.0000 0.8682 [4 per cell]
Pd: 0.0897 0.0000 0.4615 [4 per cell]
Pd: 0.1274 0.5000 0.2241 [4 per cell]
Pd: 0.2421 0.0000 0.1303 [4 per cell]

---

No. 10
# ZrHgSe

A relaxed ZrHgSe crystal (PBE, Alexandria).

Properties
- Relative energy among the computed polymorphs: 0.413 eV/atom
- Raw total energy: -4.3179 eV per atom
- E_form (uncorrected): -0.206 eV per atom

Cell: 6.6924 6.6924 6.6924 Å, 90.00 90.00 90.00°
Space group F-43m (No. 216)
Symmetry-distinct sites (fractional):
Zr: 0.0000 0.0000 0.0000 [4 per cell]
Hg: 0.2500 0.2500 0.2500 [4 per cell]
Se: 0.2500 0.2500 0.7500 [4 per cell]

---

No. 11
# AlFePt2

A relaxed AlFePt2 crystal (PBE, Alexandria).

Properties
- Raw total energy: -6.5276 eV per atom
- Energy of formation: -0.456 eV/atom

Cell: 8.5630 2.8194 4.9280 Å, 90.00 101.23 90.00°
Space group C2/m (No. 12)
Symmetry-distinct sites (fractional):
Al: 0.0000 0.0000 0.0000 [2 per cell]
Fe: 0.0000 0.5000 0.5000 [2 per cell]
Pt: 0.2432 0.5000 0.2506 [4 per cell]

---

No. 12
# MgCrRh

A relaxed MgCrRh crystal (PBE, Alexandria).

Properties
- Relative energy among the computed polymorphs: 0.073 eV/atom
- Raw total energy: -6.0891 eV per atom
- Energy of formation: 0.101 eV/atom

Cell: 4.2486 4.2486 2.7640 Å, 90.00 90.00 120.00°
Space group P3m1 (No. 156)
Symmetry-distinct sites (fractional):
Mg: 0.0000 0.0000 0.0000 [1 per cell]
Cr: 0.6667 0.3333 0.5903 [1 per cell]
Rh: 0.3333 0.6667 0.3995 [1 per cell]

---

No. 13
# Pm6Nd3Dy2Ho

A relaxed Pm6Nd3Dy2Ho crystal (PBE, Alexandria).

Properties
- Raw total energy: -4.7006 eV per atom
- Energy of formation: 0.015 eV/atom

Cell: 6.2930 10.9007 12.0117 Å, 90.00 100.07 90.00°
Space group C2/m (No. 12)
Symmetry-distinct sites (fractional):
Pm: 0.2492 0.0000 0.2460 [4 per cell]
Pm: 0.2490 0.3334 0.2459 [8 per cell]
Nd: 0.0000 0.0000 0.5000 [2 per cell]
Nd: 0.0000 0.3333 0.5000 [4 per cell]
Dy: 0.0000 0.1666 0.0000 [4 per cell]
Ho: 0.0000 0.5000 0.0000 [2 per cell]

---

No. 14
# Rb2Sn9Au3

A relaxed Rb2Sn9Au3 crystal (PBE, Alexandria).

Properties
- Raw total energy: -3.5409 eV per atom
- Energy of formation: -0.127 eV/atom

Cell: 14.3323 8.3655 14.6982 Å, 90.00 110.52 90.00°
Space group C2/c (No. 15)
Symmetry-distinct sites (fractional):
Rb: 0.1649 0.0924 0.2495 [8 per cell]
Sn: 0.0000 0.3936 0.2500 [4 per cell]
Sn: 0.0576 0.1030 0.9330 [8 per cell]
Sn: 0.0998 0.4334 0.0752 [8 per cell]
Sn: 0.1087 0.3019 0.7677 [8 per cell]
Sn: 0.2206 0.4251 0.4343 [8 per cell]
Au: 0.0834 0.2426 0.4951 [8 per cell]
Au: 0.2500 0.2500 0.0000 [4 per cell]

---

No. 15
# CaTc2Te

A relaxed CaTc2Te crystal (PBE, Alexandria).

Properties
- Raw total energy: -6.3351 eV per atom
- E_form (uncorrected): 0.134 eV per atom

Cell: 3.1827 3.1827 8.1252 Å, 90.00 90.00 90.00°
Space group P4mm (No. 99)
Symmetry-distinct sites (fractional):
Ca: 0.0000 0.0000 0.0000 [1 per cell]
Tc: 0.0000 0.0000 0.4277 [1 per cell]
Tc: 0.5000 0.5000 0.2678 [1 per cell]
Te: 0.5000 0.5000 0.6792 [1 per cell]

---

No. 16
# RbZn2Pd

A relaxed RbZn2Pd crystal (PBE, Alexandria).

Properties
- Relative energy among the computed polymorphs: 0.340 eV/atom
- Raw total energy: -1.8738 eV per atom
- Energy of formation: 0.303 eV/atom

Cell: 7.1748 7.1748 7.1748 Å, 90.00 90.00 90.00°
Space group Fm-3m (No. 225)
Symmetry-distinct sites (fractional):
Rb: 0.0000 0.0000 0.0000 [4 per cell]
Zn: 0.2500 0.2500 0.2500 [8 per cell]
Pd: 0.0000 0.0000 0.5000 [4 per cell]

---

No. 17
# Hf2BiP

A relaxed Hf2BiP crystal (PBE, Alexandria).

Properties
- Raw total energy: -8.0636 eV per atom
- Energy of formation: -0.764 eV/atom

Cell: 3.8136 3.8136 20.5302 Å, 90.00 90.00 120.00°
Space group R3m (No. 160, hexagonal axes)
Symmetry-distinct sites (fractional):
Hf: 0.0000 0.0000 0.0000 [3 per cell]
Hf: 0.0000 0.0000 0.2035 [3 per cell]
Bi: 0.0000 0.0000 0.4347 [3 per cell]
P: 0.0000 0.0000 0.6031 [3 per cell]

---

No. 18
# KBaOs2

A relaxed KBaOs2 crystal (PBE, Alexandria).

Properties
- Relative energy among the computed polymorphs: 1.157 eV/atom
- Raw total energy: -4.7658 eV per atom
- Energy of formation: 1.604 eV/atom

Cell: 4.0664 4.1065 10.9156 Å, 90.00 90.00 90.00°
Space group Cmmm (No. 65)
Symmetry-distinct sites (fractional):
K: 0.0000 0.0000 0.0000 [2 per cell]
Ba: 0.0000 0.0000 0.5000 [2 per cell]
Os: 0.0000 0.5000 0.2536 [4 per cell]

---

No. 19
# Sm3ZnCo

A relaxed Sm3ZnCo crystal (PBE, Alexandria).

Properties
- Relative energy among the computed polymorphs: 0.000 eV/atom
- Raw total energy: -4.6528 eV per atom
- Energy of formation: -0.145 eV/atom

Cell: 10.2557 6.3632 8.6433 Å, 90.00 116.63 90.00°
Space group C2/m (No. 12)
Symmetry-distinct sites (fractional):
Sm: 0.0269 0.0000 0.2268 [4 per cell]
Sm: 0.1845 0.5000 0.8710 [4 per cell]
Sm: 0.2049 0.5000 0.3230 [4 per cell]
Zn: 0.0000 0.2945 0.5000 [4 per cell]
Co: 0.0000 0.3126 0.0000 [4 per cell]